# 1
Compound: LaTaNi2
Source: Alexandria via LeMat-Bulk
Functional: PBE
Structure: relaxed

a b c (Å): 5.9196 5.9196 5.9196
angles (deg): 105.12 105.12 118.58
With the nearest neighbours (Å) after each atom.
Positions (direct):
La 0.0000 0.0000 0.0000  4 Ni 2.89, 2 Ta 3.02
La 0.7500 0.2500 0.5000  4 Ni 2.89, 2 Ta 3.02
Ta 0.2500 0.7500 0.5000  4 Ni 2.44
Ta 0.5000 0.5000 0.0000  4 Ni 2.44
Ni 0.1711 0.6250 0.0461  2 Ta 2.44
Ni 0.3750 0.4211 0.5461  2 Ta 2.44
Ni 0.5789 0.1250 0.9539  2 Ta 2.44
Ni 0.8750 0.8289 0.4539  2 Ta 2.44

* calculated total energy: -6.77 eV/atom
* formation energy from the elements: 315.5 meV per atom
* crystal system: tetragonal

# 2
Compound: LaTaNi4
Source: Alexandria via LeMat-Bulk
Functional: PBE
Structure: relaxed

a b c (Å): 5.0125 5.0125 5.0125
angles (deg): 60.00 60.00 60.00
With the nearest neighbours (Å) after each atom.
Positions (direct):
La 0.0000 0.0000 0.0000  12 Ni 2.94, 4 Ta 3.07
Ta 0.2500 0.2500 0.2500  12 Ni 2.94, 4 La 3.07
Ni 0.1290 0.6237 0.6237  6 Ni 2.48-2.53
Ni 0.6237 0.1290 0.6237  6 Ni 2.48-2.53
Ni 0.6237 0.6237 0.1290  6 Ni 2.48-2.53
Ni 0.6237 0.6237 0.6237  6 Ni 2.48-2.53

* calculated total energy: -6.68 eV/atom
* formation energy from the elements: -28.2 meV per atom
* crystal system: cubic

# 3
Compound: LaTaNi3
Source: Alexandria via LeMat-Bulk
Functional: PBE
Structure: relaxed

a b c (Å): 4.6651 4.6651 4.6651
angles (deg): 90.00 90.00 90.00
With the nearest neighbours (Å) after each atom.
Positions (direct):
La 0.0000 0.0000 0.0000  12 Ni 3.30
Ta 0.5000 0.5000 0.5000  6 Ni 2.33
Ni 0.0000 0.5000 0.5000  2 Ta 2.33
Ni 0.5000 0.0000 0.5000  2 Ta 2.33
Ni 0.5000 0.5000 0.0000  2 Ta 2.33

* calculated total energy: -6.47 eV/atom
* formation energy from the elements: 351.0 meV per atom
* crystal system: cubic

# 4
Compound: LaTa2Ni
Source: Alexandria via LeMat-Bulk
Functional: PBE
Structure: relaxed

a b c (Å): 3.9934 3.9934 5.0412
angles (deg): 90.00 90.00 90.00
With the nearest neighbours (Å) after each atom.
Positions (direct):
La 0.0000 0.0000 0.0000  4 Ni 2.82
Ta 0.0000 0.5000 0.5000  4 Ta 2.82
Ta 0.5000 0.0000 0.5000  4 Ta 2.82
Ni 0.5000 0.5000 0.0000  4 La 2.82

* calculated total energy: -8.11 eV/atom
* formation energy from the elements: 497.7 meV per atom
* crystal system: tetragonal

What did the third record say?
Compound: LaTaNi3
Source: Alexandria via LeMat-Bulk
Functional: PBE
Structure: relaxed

a b c (Å): 4.6651 4.6651 4.6651
angles (deg): 90.00 90.00 90.00
With the nearest neighbours (Å) after each atom.
Positions (direct):
La 0.0000 0.0000 0.0000  12 Ni 3.30
Ta 0.5000 0.5000 0.5000  6 Ni 2.33
Ni 0.0000 0.5000 0.5000  2 Ta 2.33
Ni 0.5000 0.0000 0.5000  2 Ta 2.33
Ni 0.5000 0.5000 0.0000  2 Ta 2.33

* calculated total energy: -6.47 eV/atom
* formation energy from the elements: 351.0 meV per atom
* crystal system: cubic

Among the records above, which one has the highest formation energy from the elements? LaTa2Ni

calculated total energy of number 2 (LaTaNi4)? -6.68 eV/atom

Please write out number 2 again, unchanged.
Compound: LaTaNi4
Source: Alexandria via LeMat-Bulk
Functional: PBE
Structure: relaxed

a b c (Å): 5.0125 5.0125 5.0125
angles (deg): 60.00 60.00 60.00
With the nearest neighbours (Å) after each atom.
Positions (direct):
La 0.0000 0.0000 0.0000  12 Ni 2.94, 4 Ta 3.07
Ta 0.2500 0.2500 0.2500  12 Ni 2.94, 4 La 3.07
Ni 0.1290 0.6237 0.6237  6 Ni 2.48-2.53
Ni 0.6237 0.1290 0.6237  6 Ni 2.48-2.53
Ni 0.6237 0.6237 0.1290  6 Ni 2.48-2.53
Ni 0.6237 0.6237 0.6237  6 Ni 2.48-2.53

* calculated total energy: -6.68 eV/atom
* formation energy from the elements: -28.2 meV per atom
* crystal system: cubic